{
  "formula": "Y2ScPt",
  "functional": "PBE-GGA",
  "state": "optimized geometry",
  "lattice": [[6.1245, 0.0061, 0.0042], [5.0031, 3.5325, 0.0042], [2.1113, 0.6714, 4.5819]],
  "species": ["Pt", "Sc", "Y", "Y"],
  "fractional_positions": [[0.2500, 0.2500, 0.2500], [0.7500, 0.7500, 0.7500], [0.9549, 0.9549, 0.0452], [0.5451, 0.5451, 0.4548]],
  "e_above_lowest_polymorph_mev_per_atom": 79,
  "magnetic_moment_mub_per_fu": 0.00,
  "ef_ev_per_atom": -0.559,
  "rho_g_cm3": 7.01
}